Entry from Alexandria: crystalline TlHPb at its relaxed geometry (PBE-GGA).

abc: 5.806 7.576 6.807
angles: 90.00 90.00 90.00
Space group Cmcm (No. 63)
Asymmetric unit:
Tl  0.000  0.000  0.000 x4
H  0.000  0.245  0.250 x4
Pb  0.000  0.499  0.750 x4

Summary:
DFT total energy = -2.903 eV/atom
Energy relative to the lowest polymorph listed for this composition = 0.04 eV per formula unit
ρ = 9.15 g/cm3
D(E_F) = 2.97 states/eV/cell

***

Entry from Alexandria: crystalline TlH2Pb4 at its relaxed geometry (PBE-GGA).

abc: 5.204 18.078 3.534
angles: 90.00 90.00 90.00
Space group Cmmm (No. 65)
Asymmetric unit:
Tl  0.000  0.000  0.000 x2
H  0.000  0.278  0.500 x4
Pb  0.000  0.188  0.000 x4
Pb  0.000  0.396  0.500 x4

Summary:
DFT total energy = -3.152 eV/atom
ρ = 10.34 g/cm3
D(E_F) = 6.47 states/eV/cell

***

Entry from Alexandria: crystalline Tl3HPb at its relaxed geometry (PBE-GGA).

abc: 19.009 3.427 8.354
angles: 90.00 95.48 90.00
Space group C2/m (No. 12)
Asymmetric unit:
Tl  0.020  0.000  0.194 x4
Tl  0.162  0.500  0.926 x4
Tl  0.208  0.000  0.328 x4
H  0.134  0.000  0.093 x4
Pb  0.088  0.500  0.537 x4

Summary:
DFT total energy = -2.666 eV/atom
Energy relative to the lowest polymorph listed for this composition = 0.00 eV per formula unit
ρ = 10.07 g/cm3
D(E_F) = 5.88 states/eV/cell

***

Entry from Alexandria: crystalline YTl2HPb at its relaxed geometry (PBE-GGA).

abc: 5.076 5.076 4.569
angles: 90.00 90.00 90.00
Space group P4/mmm (No. 123)
Asymmetric unit:
Y  0.000  0.000  0.000 x1
Tl  0.000  0.500  0.500 x2
H  0.000  0.000  0.500 x1
Pb  0.500  0.500  0.000 x1

Summary:
DFT total energy = -3.736 eV/atom
ρ = 9.96 g/cm3
D(E_F) = 4.74 states/eV/cell

***

Entry from Alexandria: crystalline TlZnHPb2 at its relaxed geometry (PBE-GGA).

abc: 5.820 5.820 3.483
angles: 90.00 90.00 90.00
Space group P4/mmm (No. 123)
Asymmetric unit:
Tl  0.000  0.000  0.000 x1
Zn  0.500  0.500  0.500 x1
H  0.500  0.500  0.000 x1
Pb  0.000  0.500  0.500 x2

Summary:
DFT total energy = -2.668 eV/atom
ρ = 9.65 g/cm3
D(E_F) = 3.07 states/eV/cell

***

Entry from Alexandria: crystalline ZrTlHPb2 at its relaxed geometry (PBE-GGA).

abc: 5.604 5.604 3.688
angles: 90.00 90.00 90.00
Space group P4/mmm (No. 123)
Asymmetric unit:
Zr  0.000  0.000  0.000 x1
Tl  0.500  0.500  0.000 x1
H  0.000  0.000  0.500 x1
Pb  0.000  0.500  0.500 x2

Summary:
DFT total energy = -4.232 eV/atom
ρ = 10.19 g/cm3
D(E_F) = 2.78 states/eV/cell

***

Entry from Alexandria: crystalline Tm4H2Pb5 at its relaxed geometry (PBE-GGA).

abc: 18.961 3.584 9.263
angles: 90.00 117.58 90.00
Space group C2/m (No. 12)
Asymmetric unit:
Tm  0.003  0.000  0.198 x4
Tm  0.155  0.500  0.165 x4
H  0.055  0.500  0.199 x4
Pb  0.000  0.500  0.500 x2
Pb  0.176  0.000  0.864 x4
Pb  0.178  0.000  0.501 x4

Summary:
DFT total energy = -4.170 eV/atom
ρ = 10.20 g/cm3
D(E_F) = 12.65 states/eV/cell

***

Entry from Alexandria: crystalline Tm3HPb at its relaxed geometry (PBE-GGA).

abc: 4.783 4.783 4.783
angles: 90.00 90.00 90.00
Space group Pm-3m (No. 221)
Asymmetric unit:
Tm  0.000  0.000  0.500 x3
H  0.000  0.000  0.000 x1
Pb  0.500  0.500  0.500 x1

Summary:
DFT total energy = -4.421 eV/atom
Energy relative to the lowest polymorph listed for this composition = 0.34 eV per formula unit
ρ = 10.85 g/cm3
D(E_F) = 4.60 states/eV/cell